ZnFeGeOs | PBE-GGA | relaxed

a b c (Å): 4.207 4.207 4.207
angles (deg): 60.00 60.00 60.00
Atoms (fractional coordinates):
1 Zn 0.000 0.000 0.000
2 Fe 0.750 0.750 0.750
3 Ge 0.500 0.500 0.500
4 Os 0.250 0.250 0.250

Properties
**SG**: F-43m
**Calculated total energy**: -0.4551 Ry per atom
**Volume**: 52.6 Å³/cell